[1]
LaPr3Sb4 PBE optimized geometry; final energy = -5.686 eV/atom
1.0
-2.062 -1.862 5.841
-5.031 -3.008 -2.735
3.504 -5.415 -0.489
Sb Pr La
4 3 1
Direct
0.500 0.000 0.000
0.000 0.500 0.000
0.500 0.500 0.500
0.000 0.000 0.500
0.000 0.500 0.500
0.500 0.500 0.000
0.500 0.000 0.500
0.000 0.000 0.000

[2]
LaPrSb PBE optimized geometry; final energy = -5.117 eV/atom
1.0
-0.345 -2.506 -3.709
5.083 -0.393 -0.207
-2.722 -3.454 2.587
La Pr Sb
1 1 1
Direct
0.614 0.667 0.333
0.068 0.000 0.000
0.318 0.333 0.667

[3]
LaPr3Sb4 PBE optimized geometry; final energy = -5.683 eV/atom
1.0
-1.197 -0.350 4.406
-7.236 -2.403 -2.156
4.748 -6.294 0.789
Pr Sb La
3 4 1
Direct
0.000 0.000 0.500
0.000 0.500 0.000
0.500 0.500 0.500
0.500 0.749 0.251
0.500 0.251 0.749
0.000 0.748 0.748
0.000 0.252 0.252
0.500 0.000 0.000

[4]
La2Pr2Sb5 PBE optimized geometry; final energy = -5.432 eV/atom
1.0
-0.782 -8.180 1.933
4.711 -2.276 -7.727
3.570 1.658 8.462
La Sb Pr
4 10 4
Direct
0.000 0.812 0.188
0.500 0.688 0.312
0.000 0.188 0.812
0.500 0.312 0.688
0.368 0.731 0.007
0.132 0.507 0.231
0.868 0.493 0.769
0.368 0.007 0.731
0.632 0.269 0.993
0.000 0.000 0.000
0.500 0.500 0.500
0.868 0.769 0.493
0.132 0.231 0.507
0.632 0.993 0.269
0.836 0.338 0.338
0.664 0.838 0.838
0.336 0.162 0.162
0.164 0.662 0.662

[5]
La2PrSb2 PBE optimized geometry; final energy = -5.295 eV/atom
1.0
4.552 -0.641 0.450
0.588 4.559 0.450
1.725 1.315 7.940
La Sb Pr
2 2 1
Direct
0.248 0.752 0.500
0.752 0.248 0.500
0.402 0.402 0.197
0.598 0.598 0.803
0.000 0.000 0.000

[6]
LaPr5Sb5 PBE optimized geometry; final energy = -5.520 eV/atom
1.0
-6.329 -0.931 0.568
2.843 -1.532 -7.142
1.539 -7.371 5.062
Pr Sb La
5 5 1
Direct
0.668 0.336 0.332
0.332 0.664 0.668
0.000 0.000 0.500
0.668 0.335 0.836
0.332 0.665 0.164
0.832 0.663 0.169
0.833 0.665 0.663
0.168 0.337 0.831
0.167 0.335 0.337
0.500 0.000 0.000
0.000 0.000 0.000

| no. | ΔE_f (raw) (meV per atom) |
| --- | --- |
| 1 | -1217 |
| 2 | -507 |
| 3 | -1214 |
| 4 | -985 |
| 5 | -719 |
| 6 | -1025 |